No. 1
Cd2Ga6Ag | Alexandria | PBE | relaxed; E_form = 0.052 eV/atom; energy above the most stable polymorph in this dataset = 0.0 meV/atom; N(E_F) = 3.14 states/eV/cell
1.0
-4.181 6.085 2.400
-0.046 -3.034 -4.944
-4.587 -3.460 0.781
Ga Cd Ag
6 2 1
Direct
0.167 0.804 0.324
0.363 0.196 0.676
0.833 0.196 0.676
0.837 0.674 0.663
0.163 0.326 0.337
0.637 0.804 0.324
0.659 0.317 0.177
0.341 0.683 0.823
0.000 0.000 0.000



No. 2
Cd4Ga2Ag5 | Alexandria | PBE | relaxed; E_form = 0.081 eV/atom; N(E_F) = 4.30 states/eV/cell
1.0
-2.112 2.404 -3.186
-7.404 3.034 7.198
3.343 2.848 3.132
Ag Cd Ga
5 4 2
Direct
0.152 0.461 0.305
0.500 0.000 0.000
0.827 0.027 0.655
0.848 0.539 0.695
0.173 0.973 0.345
0.004 0.769 0.007
0.289 0.207 0.577
0.711 0.793 0.423
0.996 0.231 0.993
0.559 0.598 0.118
0.441 0.402 0.882



No. 3
Cd2Ga3Ag8 | Alexandria | PBE | relaxed; E_form = 0.066 eV/atom; N(E_F) = 2.13 states/eV/cell
1.0
5.900 0.000 0.532
0.000 7.511 0.000
-1.983 -3.756 5.597
Ag Cd Ga
8 2 3
Direct
0.446 0.421 0.231
0.146 0.424 0.849
0.242 0.780 0.560
0.758 0.220 0.440
0.446 0.811 0.231
0.854 0.576 0.151
0.554 0.579 0.769
0.554 0.189 0.769
0.232 0.204 0.408
0.768 0.796 0.592
0.500 0.000 0.000
0.000 0.183 0.000
0.000 0.817 0.000



Question: Among the records above, which one has the highest N(E_F)?
Answer: Cd4Ga2Ag5